The following is a DFT calculation (PBE with a Hubbard U) of a relaxed Rb2ScWF6 crystal.

Output
energy	-53.022	eV for the cell shown
total magnetic moment	3.00	μB/f.u.

Cell: 6.4998 6.4998 6.4998 Å, 114.63 114.63 99.58°
Positions (direct):
Rb: 0.2500 0.7500 0.5000
Rb: 0.7500 0.2500 0.5000
Sc: 0.0000 0.0000 0.0000
W: 0.5000 0.5000 0.0000
F: 0.2028 0.2028 0.4055
F: 0.2028 0.7972 0.0000
F: 0.2496 0.2496 0.0000
F: 0.7504 0.7504 0.0000
F: 0.7972 0.2028 0.0000
F: 0.7972 0.7972 0.5945